Entry 1:
DFT (PBE) results for Ba2RuAu after structural relaxation.

Computed properties:
Its formation energy is 0.00 eV/atom. The space group is Amm2, No. 38.

Cell lengths 4.8075, 4.8983, 6.1547 Å; angles 66.55, 90.00, 90.00 degrees
Atoms (fractional coordinates):
Au: 0.5000 0.5757 0.7235
Ba: 0.0000 0.9872 0.9006
Ba: 0.5000 0.2737 0.3277
Ru: 0.0000 0.6633 0.5481

Entry 2:
DFT (PBE) results for BaRuAu2 after structural relaxation.

Computed properties:
Its formation energy is 0.33 eV/atom. The space group is Imm2, No. 44. As for the distance to the lowest polymorph of the same formula: 0.385 eV per atom.

Cell lengths 5.8892, 5.8892, 5.8892 Å; angles 144.25, 128.47, 64.30 degrees
Atoms (fractional coordinates):
Au: 0.9881 0.9881 0.0000
Au: 0.2267 0.7267 0.5000
Ba: 0.5079 0.5079 0.0000
Ru: 0.7772 0.2772 0.5000

Entry 3:
DFT (PBE) results for Ba2RuAu after structural relaxation.

Computed properties:
Its formation energy is 0.22 eV/atom. The space group is P4mm, No. 99.

Cell lengths 3.7984, 3.7984, 9.2256 Å; angles 90.00, 90.00, 90.02 degrees
Atoms (fractional coordinates):
Au: 0.5000 0.5000 0.6724
Ba: 0.0000 0.0000 0.8990
Ba: 0.5000 0.5000 0.3425
Ru: 0.0000 0.0000 0.5862

For each record above, in turn, the calculated size of the total moment values are 0.0000 0.3662 0.0002 μB/atom.